BaVNF2 after structural relaxation. Source: Alexandria, functional PBE with a Hubbard U.

## Properties
Energy above the most stable polymorph in this dataset (meV per atom): 0.0
N(E_F) (states/eV/f.u.): 0.2

Lattice parameters (Å, degrees): 4.273 4.273 4.024 90.00 90.00 90.00
Last column: magnetic moment on the atom in μB.
Element x y z (fractional)
V 0.000 0.000 0.000  2.14
Ba 0.500 0.500 0.500  0.00
F 0.000 0.500 0.000  0.01
F 0.500 0.000 0.000  0.01
N 0.000 0.000 0.500  -0.25